This record from Alexandria via LeMat-Bulk describes an optimized crystal structure of LiCdPd. The functional is PBE.

CIF file:
```
data_LiCdPd
_chemical_formula_sum 'Li4 Cd4 Pd4'
_cell_length_a 6.2718
_cell_length_b 6.2718
_cell_length_c 6.2718
_cell_angle_alpha 90.00
_cell_angle_beta 90.00
_cell_angle_gamma 90.00
_symmetry_space_group_name_H-M 'F -4 3 m'
_symmetry_Int_Tables_number 216
_symmetry_space_group_name_Hall 'F -4 2 3'
loop_
_atom_site_label
_atom_site_fract_x
_atom_site_fract_y
_atom_site_fract_z
_atom_site_occupancy
Li1 0.0000 0.0000 0.0000 1
Cd1 0.0000 0.0000 0.5000 1
Pd1 0.2500 0.2500 0.7500 1
```

Values from the calculation:
E_form: -0.7 eV/f.u.
Calculated total energy: -0.21250 Ry per atom
Volume: 20.6 Å³/atom